Here is a relaxed structure of Cs2LiAsI6 from Alexandria. Energies are from GGA-PBE.

Results
DFT total energy, eV/atom: -2.674

Cell: 8.385 8.385 8.380 Å, 59.98 59.98 90.00°
Fractional coordinates of all 10 atoms:
Cs (0.750, 0.250, 0.500)
Cs (0.250, 0.750, 0.500)
I (0.244, 0.244, 0.511)
I (0.756, 0.756, 0.489)
I (0.244, 0.244, 0.000)
I (0.756, 0.756, 0.000)
I (0.756, 0.244, 0.000)
I (0.244, 0.756, 0.000)
As (0.000, 0.000, 0.000)
Li (0.500, 0.500, 0.000)

***

Here is a relaxed structure of HfNpPt6 from Alexandria. Energies are from GGA-PBE.

Results
DFT formation energy, kJ per mole of atoms: -81

Cell: 4.087 4.087 8.229 Å, 90.00 90.00 90.00°
Last column: magnetic moment on the atom in μB.
Fractional coordinates of all 8 atoms:
Hf (0.000, 0.000, 0.500)  0.01
Np (0.000, 0.000, 0.000)  3.27
Pt (0.500, 0.500, 0.000)  -0.02
Pt (0.500, 0.500, 0.500)  -0.01
Pt (0.500, 0.000, 0.261)  0.00
Pt (0.500, 0.000, 0.739)  0.00
Pt (0.000, 0.500, 0.261)  0.00
Pt (0.000, 0.500, 0.739)  0.00

***

Here is a relaxed structure of Zr4NbIn2 from Alexandria. Energies are from GGA-PBE.

Results
DFT formation energy, kJ per mole of atoms: 58

Cell: 4.909 4.909 8.520 Å, 73.26 73.26 90.00°
Fractional coordinates of all 7 atoms:
Nb (0.000, 0.000, 0.000)
Zr (0.179, 0.179, 0.641)
Zr (0.821, 0.821, 0.359)
Zr (0.000, 0.500, 0.000)
Zr (0.500, 0.000, 0.000)
In (0.367, 0.367, 0.267)
In (0.633, 0.633, 0.733)

***

Here is a relaxed structure of LaTcN2 from Alexandria. Energies are from GGA-PBE.

Results
Polymorph energy (0 for the lowest one), eV per formula unit: 1.430

Cell: 4.957 4.957 6.326 Å, 66.93 66.93 90.00°
Fractional coordinates of all 8 atoms:
N (0.528, 0.125, 0.250)
N (0.222, 0.625, 0.250)
N (0.375, 0.472, 0.750)
N (0.875, 0.778, 0.750)
Tc (0.500, 0.500, 0.000)
Tc (0.250, 0.750, 0.500)
La (0.000, 0.000, 0.000)
La (0.750, 0.250, 0.500)

***

| no. | M_tot (μB per formula unit) |
| --- | --- |
| 1 | 0.00 |
| 2 | 3.30 |
| 3 | 0.00 |
| 4 | 0.00 |